VASP calculation (GGA-PBE) on an optimized crystal structure of CaCu4Rh2.

Output
Its space-group type is No. 12. The value obtained for the volume is 105.5 Å³/f.u. The calculation puts the formation energy at -0.116 eV/atom. The calculation puts the density of states at the Fermi level at 6.22 states/eV/f.u.

Unit cell a=5.2007 b=5.2007 c=5.1359 alpha=119.38 beta=119.38 gamma=76.07
Last column: nearest neighbours and their distance in Å.
Atoms (fractional coordinates):
Ca: 0.0000 0.0000 0.0000  4 Cu 2.77
Cu: 0.0000 0.3891 0.6941  4 Cu 2.49-2.76, 4 Rh 2.65-2.66, 1 Ca 2.77
Cu: 0.0000 0.6109 0.3059  4 Cu 2.49-2.76, 4 Rh 2.65-2.66, 1 Ca 2.77
Cu: 0.3891 0.0000 0.6941  4 Cu 2.49-2.76, 4 Rh 2.65-2.66, 1 Ca 2.77
Cu: 0.6109 0.0000 0.3059  4 Cu 2.49-2.76, 4 Rh 2.65-2.66, 1 Ca 2.77
Rh: 0.4998 0.4998 0.2497  2 Rh 2.57, 8 Cu 2.65-2.66
Rh: 0.5002 0.5002 0.7503  2 Rh 2.57, 8 Cu 2.65-2.66



VASP calculation (GGA-PBE) on an optimized crystal structure of CsSrBe2Cu.

Output
Its space-group type is No. 123. The value obtained for the volume is 178.2 Å³/f.u. The calculation puts the formation energy at 1.582 eV/atom. The calculation puts the density of states at the Fermi level at 3.02 states/eV/f.u.

Unit cell a=5.6183 b=5.6183 c=5.6462 alpha=90.00 beta=90.00 gamma=90.00
Last column: nearest neighbours and their distance in Å.
Atoms (fractional coordinates):
Cs: 0.0000 0.0000 0.0000  4 Be 2.81, 2 Cu 2.82
Sr: 0.5000 0.5000 0.5000  4 Cu 3.97, 8 Be 3.98
Be: 0.0000 0.5000 0.0000  2 Cs 2.81
Be: 0.5000 0.0000 0.0000  2 Cs 2.81
Cu: 0.0000 0.0000 0.5000  2 Cs 2.82



VASP calculation (GGA-PBE) on an optimized crystal structure of YHo2In3Te6.

Output
Its space-group type is No. 12. The value obtained for the volume is 408.8 Å³/f.u. The calculation puts the density of states at the Fermi level at 1.09 states/eV/f.u. Its formation energy without anion corrections is -0.970 eV per atom.

Unit cell a=7.6284 b=7.6284 c=8.5009 alpha=98.60 beta=98.60 gamma=120.00
Last column: nearest neighbours and their distance in Å.
Atoms (fractional coordinates):
Y: 0.0000 0.0000 0.0000  6 Te 3.11
Ho: 0.3333 0.6667 0.0000  6 Te 3.09
Ho: 0.6667 0.3333 0.0000  6 Te 3.09
In: 0.1663 0.8337 0.5000  6 Te 3.41-3.42
In: 0.5000 0.5000 0.5000  6 Te 3.41-3.42
In: 0.8337 0.1663 0.5000  6 Te 3.41-3.42
Te: 0.0728 0.4075 0.2184  2 Ho 3.09, 1 Y 3.11, 3 In 3.41-3.42
Te: 0.2620 0.2620 0.7819  2 Ho 3.09, 1 Y 3.11, 3 In 3.41-3.42
Te: 0.4075 0.0728 0.2184  2 Ho 3.09, 1 Y 3.11, 3 In 3.41-3.42
Te: 0.5925 0.9272 0.7816  2 Ho 3.09, 1 Y 3.11, 3 In 3.41-3.42
Te: 0.7380 0.7380 0.2181  2 Ho 3.09, 1 Y 3.11, 3 In 3.41-3.42
Te: 0.9272 0.5925 0.7816  2 Ho 3.09, 1 Y 3.11, 3 In 3.41-3.42



VASP calculation (GGA-PBE) on an optimized crystal structure of Sm3Al4Ga4.

Output
Its space-group type is No. 71. The value obtained for the volume is 229.6 Å³/f.u. The value obtained for the polymorph energy (0 for the lowest one) is 0.67 eV per formula unit. The calculation puts the formation energy at -0.473 eV/atom. The calculation puts the density of states at the Fermi level at 5.55 states/eV/f.u.

Unit cell a=8.5403 b=8.5403 c=8.5403 alpha=150.83 beta=130.37 gamma=58.61
Last column: nearest neighbours and their distance in Å.
Atoms (fractional coordinates):
Sm: 0.0000 0.0000 0.0000  6 Ga 3.15-3.25, 8 Al 3.44
Sm: 0.3721 0.8721 0.5000  6 Ga 3.14-3.15, 6 Al 3.15-3.46
Sm: 0.6279 0.1279 0.5000  6 Ga 3.14-3.15, 6 Al 3.15-3.46
Al: 0.0273 0.3428 0.6845  3 Ga 2.54-2.68, 1 Al 2.65
Al: 0.3417 0.6572 0.6845  3 Ga 2.54-2.68, 1 Al 2.65
Al: 0.6583 0.3428 0.3155  3 Ga 2.54-2.68, 1 Al 2.65
Al: 0.9727 0.6572 0.3155  3 Ga 2.54-2.68, 1 Al 2.65
Ga: 0.2180 0.2180 0.0000  6 Al 2.68-2.93
Ga: 0.3213 0.5000 0.8213  2 Al 2.54, 1 Ga 2.56
Ga: 0.6787 0.5000 0.1787  2 Al 2.54, 1 Ga 2.56
Ga: 0.7820 0.7820 0.0000  6 Al 2.68-2.93



VASP calculation (GGA-PBE) on an optimized crystal structure of AgPb.

Output
Its space-group type is No. 217. The value obtained for the volume is 86.9 Å³/f.u. The calculation puts the formation energy at 0.491 eV/atom. The calculation puts the density of states at the Fermi level at 1.00 states/eV/f.u.

Unit cell a=7.6704 b=7.6704 c=7.6704 alpha=109.47 beta=109.47 gamma=109.47
Last column: nearest neighbours and their distance in Å.
Atoms (fractional coordinates):
Ag: 0.0000 0.0000 0.6429  4 Pb 2.79-2.86
Ag: 0.0000 0.6429 0.0000  4 Pb 2.79-2.86
Ag: 0.3571 0.3571 0.3571  4 Pb 2.79-2.86
Ag: 0.6429 0.0000 0.0000  4 Pb 2.79-2.86
Pb: 0.0000 0.0000 0.2794  4 Ag 2.79-2.86
Pb: 0.0000 0.2794 0.0000  4 Ag 2.79-2.86
Pb: 0.2794 0.0000 0.0000  4 Ag 2.79-2.86
Pb: 0.7206 0.7206 0.7206  4 Ag 2.79-2.86



VASP calculation (GGA-PBE) on an optimized crystal structure of Ca3GaBi.

Output
Its space-group type is No. 221. The value obtained for the volume is 177.1 Å³/f.u. The value obtained for the polymorph energy (0 for the lowest one) is 1.38 eV per formula unit. The calculation puts the formation energy at -0.275 eV/atom. The calculation puts the density of states at the Fermi level at 7.58 states/eV/f.u.

Unit cell a=5.6162 b=5.6162 c=5.6162 alpha=90.00 beta=90.00 gamma=90.00
Last column: nearest neighbours and their distance in Å.
Atoms (fractional coordinates):
Ca: 0.0000 0.0000 0.5000  2 Ga 2.81
Ca: 0.0000 0.5000 0.0000  2 Ga 2.81
Ca: 0.5000 0.0000 0.0000  2 Ga 2.81
Ga: 0.0000 0.0000 0.0000  6 Ca 2.81
Bi: 0.5000 0.5000 0.5000  12 Ca 3.97



VASP calculation (GGA-PBE) on an optimized crystal structure of SrBeGa2W.

Output
Its space-group type is No. 123. The value obtained for the volume is 140.2 Å³/f.u. The calculation puts the formation energy at 1.123 eV/atom. The calculation puts the density of states at the Fermi level at 4.57 states/eV/f.u.

Unit cell a=4.9742 b=4.9742 c=5.6662 alpha=90.00 beta=90.00 gamma=90.00
Last column: nearest neighbours and their distance in Å.
Atoms (fractional coordinates):
Sr: 0.0000 0.0000 0.0000  2 W 2.83
Be: 0.5000 0.5000 0.0000  4 Sr 3.52, 8 Ga 3.77
Ga: 0.0000 0.5000 0.5000  2 W 2.49
Ga: 0.5000 0.0000 0.5000  2 W 2.49
W: 0.0000 0.0000 0.5000  4 Ga 2.49



VASP calculation (GGA-PBE) on an optimized crystal structure of TlZn2Mo.

Output
Its space-group type is No. 71. The value obtained for the volume is 72.6 Å³/f.u. The value obtained for the polymorph energy (0 for the lowest one) is 0.38 eV per formula unit. The calculation puts the formation energy at 0.419 eV/atom. The calculation puts the density of states at the Fermi level at 2.36 states/eV/f.u.

Unit cell a=5.7536 b=5.7536 c=5.7536 alpha=149.69 beta=130.44 gamma=59.21
Last column: nearest neighbours and their distance in Å.
Atoms (fractional coordinates):
Tl: 0.0000 0.0000 0.0000  4 Mo 2.84, 2 Tl 3.01, 4 Zn 3.12
Zn: 0.2735 0.7735 0.5000  2 Mo 2.72, 6 Zn 2.88-3.01
Zn: 0.7265 0.2265 0.5000  2 Mo 2.72, 6 Zn 2.88-3.01
Mo: 0.5000 0.5000 0.0000  4 Zn 2.72, 4 Tl 2.84, 2 Mo 3.01



VASP calculation (GGA-PBE) on an optimized crystal structure of Y2Er2ZnGa4.

Output
Its space-group type is No. 139. The value obtained for the volume is 208.3 Å³/f.u. The calculation puts the formation energy at -0.298 eV/atom. The calculation puts the density of states at the Fermi level at 7.65 states/eV/f.u.

Unit cell a=6.5417 b=6.5417 c=6.5417 alpha=115.95 beta=115.95 gamma=97.17
Last column: nearest neighbours and their distance in Å.
Atoms (fractional coordinates):
Y: 0.2500 0.7500 0.5000  8 Ga 3.27, 4 Er 3.51
Y: 0.7500 0.2500 0.5000  8 Ga 3.27, 4 Er 3.51
Er: 0.1865 0.1865 0.0000  1 Zn 2.71, 4 Ga 2.97
Er: 0.8135 0.8135 0.0000  1 Zn 2.71, 4 Ga 2.97
Zn: 0.5000 0.5000 0.0000  4 Ga 2.42
Ga: 0.2535 0.2535 0.5070  1 Zn 2.42
Ga: 0.2535 0.7465 0.0000  1 Zn 2.42
Ga: 0.7465 0.2535 0.0000  1 Zn 2.42
Ga: 0.7465 0.7465 0.4930  1 Zn 2.42



VASP calculation (GGA-PBE) on an optimized crystal structure of GdHo2Pd.

Output
Its space-group type is No. 166. The value obtained for the volume is 112.9 Å³/f.u. The value obtained for the polymorph energy (0 for the lowest one) is 0.50 eV per formula unit. The calculation puts the formation energy at -0.293 eV/atom. The calculation puts the density of states at the Fermi level at 5.13 states/eV/f.u.

Unit cell a=10.0125 b=10.0125 c=10.0125 alpha=21.00 beta=21.00 gamma=21.00
Last column: nearest neighbours and their distance in Å.
Atoms (fractional coordinates):
Gd: 0.0000 0.0000 0.0000  6 Ho 3.64, 6 Gd 3.65
Ho: 0.2322 0.2322 0.2322  3 Pd 2.85
Ho: 0.7678 0.7678 0.7678  3 Pd 2.85
Pd: 0.5000 0.5000 0.5000  6 Ho 2.85



> The lowest volume belongs to which entry?

TlZn2Mo



> Which of these has the highest density of states at the Fermi level?

Y2Er2ZnGa4



What did the second record say?
VASP calculation (GGA-PBE) on an optimized crystal structure of CsSrBe2Cu.

Output
Its space-group type is No. 123. The value obtained for the volume is 178.2 Å³/f.u. The calculation puts the formation energy at 1.582 eV/atom. The calculation puts the density of states at the Fermi level at 3.02 states/eV/f.u.

Unit cell a=5.6183 b=5.6183 c=5.6462 alpha=90.00 beta=90.00 gamma=90.00
Last column: nearest neighbours and their distance in Å.
Atoms (fractional coordinates):
Cs: 0.0000 0.0000 0.0000  4 Be 2.81, 2 Cu 2.82
Sr: 0.5000 0.5000 0.5000  4 Cu 3.97, 8 Be 3.98
Be: 0.0000 0.5000 0.0000  2 Cs 2.81
Be: 0.5000 0.0000 0.0000  2 Cs 2.81
Cu: 0.0000 0.0000 0.5000  2 Cs 2.82



> Among the records above, which one has the lowest volume?

TlZn2Mo